Record 1
Density functional theory data (GGA-PBE) for a relaxed Al3Tc5 crystal.

a = 6.1315 Å, b = 8.6200 Å, c = 4.3275 Å
α = 90.00°, β = 90.00°, γ = 90.00°
Fractional positions:
Al  0.0000  0.0000  0.0000
Al  0.0000  0.2530  0.5000
Al  0.0000  0.7470  0.5000
Al  0.5000  0.2470  0.5000
Al  0.5000  0.5000  0.0000
Al  0.5000  0.7530  0.5000
Tc  0.0000  0.5000  0.0000
Tc  0.2445  0.0000  0.5000
Tc  0.2500  0.2500  0.0000
Tc  0.2500  0.7500  0.0000
Tc  0.2555  0.5000  0.5000
Tc  0.5000  0.0000  0.0000
Tc  0.7445  0.5000  0.5000
Tc  0.7500  0.2500  0.0000
Tc  0.7500  0.7500  0.0000
Tc  0.7555  0.0000  0.5000

## Properties
Density of states at the Fermi level in states/eV/atom: 1.03
Energy of formation from the pure elements in meV per atom: -197
Mass density in g/cm3: 8.290
Raw total energy in eV/f.u.: -64.6
E above lowest polymorph in meV/atom: 59



Record 2
Density functional theory data (GGA-PBE) for a relaxed Al4Tc crystal.

a = 5.7864 Å, b = 5.7864 Å, c = 5.7864 Å
α = 90.00°, β = 90.00°, γ = 90.00°
Fractional positions:
Al  0.2500  0.2500  0.2500
Al  0.2500  0.2500  0.7500
Al  0.2500  0.7500  0.2500
Al  0.2500  0.7500  0.7500
Al  0.7500  0.2500  0.2500
Al  0.7500  0.2500  0.7500
Al  0.7500  0.7500  0.2500
Al  0.7500  0.7500  0.7500
Tc  0.0000  0.0000  0.0000
Tc  0.5000  0.5000  0.5000

## Properties
Density of states at the Fermi level in states/eV/atom: 0.37
Energy of formation from the pure elements in meV per atom: -184
Mass density in g/cm3: 3.530
Raw total energy in eV/f.u.: -26.3
E above lowest polymorph in meV/atom: 193